Here is GdErPuTl after structural relaxation from Alexandria. Energies are from PBE-GGA.

a = 7.6398 Å, b = 7.6398 Å, c = 7.6398 Å
α = 90.00°, β = 90.00°, γ = 90.00°
With the nearest neighbours (Å) after each atom.
Space group F-43m (No. 216)
Inequivalent atoms, fractional coordinates:
Gd: 0.0000 0.0000 0.0000 x4  4 Tl 3.31, 4 Pu 3.31
Er: 0.0000 0.0000 0.5000 x4  4 Tl 3.31, 4 Pu 3.31
Pu: 0.2500 0.2500 0.7500 x4  4 Gd 3.31, 4 Er 3.31
Tl: 0.2500 0.2500 0.2500 x4  4 Gd 3.31, 4 Er 3.31

Calculated values
V: 27.9 Å³ per atom
Magnetization: 0.8 μB/f.u.
Fermi-level density of states: 15.2 states/eV/f.u.
Energy of formation: 43.4 meV per atom


Here is GdErPuZn after structural relaxation from Alexandria. Energies are from PBE-GGA.

a = 7.4753 Å, b = 7.4753 Å, c = 7.4753 Å
α = 90.00°, β = 90.00°, γ = 90.00°
With the nearest neighbours (Å) after each atom.
Space group F-43m (No. 216)
Inequivalent atoms, fractional coordinates:
Gd: 0.0000 0.0000 0.0000 x4  4 Zn 3.24, 4 Pu 3.24
Er: 0.0000 0.0000 0.5000 x4  4 Pu 3.24, 4 Zn 3.24
Pu: 0.2500 0.2500 0.2500 x4  4 Gd 3.24, 4 Er 3.24
Zn: 0.2500 0.2500 0.7500 x4  4 Gd 3.24, 4 Er 3.24

Calculated values
V: 26.1 Å³ per atom
Magnetization: 14.0 μB/f.u.
Fermi-level density of states: 14.0 states/eV/f.u.
Energy of formation: 115.6 meV per atom


- Which formula does entry 2 have?
  GdErPuZn